{"formula": "HgAsF4", "functional": "PBE", "state": "relaxed", "n_ef_per_ev_fu": 1.268, "formation_energy_uncorrected_ev_per_atom": -1.671, "lattice": [[7.065, 0.000, 0.000], [0.000, 4.500, 0.000], [0.000, 0.000, 8.382]], "species": ["F", "F", "F", "F", "F", "F", "F", "F", "As", "As", "Hg", "Hg"], "frac_coords": [[0.460, 0.759, 0.000], [0.306, 0.322, 0.156], [0.902, 0.435, 0.000], [0.806, 0.678, 0.344], [0.306, 0.322, 0.844], [0.806, 0.678, 0.656], [0.402, 0.565, 0.500], [0.960, 0.241, 0.500], [0.972, 0.639, 0.500], [0.472, 0.361, 0.000], [0.927, 0.934, 0.000], [0.427, 0.066, 0.500]]}

{"formula": "LaTaSb2", "functional": "PBE", "state": "relaxed", "n_ef_per_ev_fu": 3.963, "formation_energy_uncorrected_ev_per_atom": -0.002, "lattice": [[6.017, 0.000, 0.000], [2.730, 5.362, 0.000], [-4.373, -2.681, 3.145]], "species": ["La", "Ta", "Sb", "Sb"], "frac_coords": [[0.750, 0.250, 0.500], [0.500, 0.500, 0.000], [0.250, 0.750, 0.500], [0.000, 0.000, 0.000]]}